1.
# Co3TeN, optimized geometry, DFT GGA-PBE
# Formation energy (no corrections) (eV/atom): 0.225
# V (Å³ per cell): 60.0
# Polymorph energy (0 for the lowest one) (meV/atom): 0
# DFT total energy (eV for the cell shown): -31.66
data_Co3TeN
_symmetry_space_group_name_H-M 'P m -3 m'
_symmetry_Int_Tables_number 221
_symmetry_space_group_name_Hall '-P 4 2 3'
_cell_length_a 3.914
_cell_length_b 3.914
_cell_length_c 3.914
_cell_angle_alpha 90.00
_cell_angle_beta 90.00
_cell_angle_gamma 90.00
loop_
_atom_site_label
_atom_site_fract_x
_atom_site_fract_y
_atom_site_fract_z
Co1 0.000 0.000 0.500
Te1 0.500 0.500 0.500
N1 0.000 0.000 0.000


2.
# CoTeN2, optimized geometry, DFT GGA-PBE
# Formation energy (no corrections) (eV/atom): 0.817
# V (Å³ per cell): 219.1
# DFT total energy (eV for the cell shown): -94.53
data_CoTeN2
_symmetry_space_group_name_H-M 'I -4 2 d'
_symmetry_Int_Tables_number 122
_symmetry_space_group_name_Hall 'I -4 2bw'
_cell_length_a 5.150
_cell_length_b 5.150
_cell_length_c 8.261
_cell_angle_alpha 90.00
_cell_angle_beta 90.00
_cell_angle_gamma 90.00
loop_
_atom_site_label
_atom_site_fract_x
_atom_site_fract_y
_atom_site_fract_z
Co1 0.000 0.000 0.000
Te1 0.000 0.000 0.500
N1 0.151 0.250 0.125


3.
# Co2TeN4, optimized geometry, DFT GGA-PBE
# Formation energy (no corrections) (eV/atom): 1.519
# V (Å³ per cell): 169.7
# DFT total energy (eV for the cell shown): -80.04
data_Co2TeN4
_symmetry_space_group_name_H-M 'I 4/m m m'
_symmetry_Int_Tables_number 139
_symmetry_space_group_name_Hall '-I 4 2'
_cell_length_a 4.133
_cell_length_b 4.133
_cell_length_c 9.934
_cell_angle_alpha 90.00
_cell_angle_beta 90.00
_cell_angle_gamma 90.00
loop_
_atom_site_label
_atom_site_fract_x
_atom_site_fract_y
_atom_site_fract_z
Co1 0.000 0.000 0.122
Te1 0.000 0.000 0.500
N1 0.000 0.000 0.285
N2 0.000 0.500 0.000


4.
# CoTeN3, optimized geometry, DFT GGA-PBE
# Formation energy (no corrections) (eV/atom): 1.985
# V (Å³ per cell): 60.4
# DFT total energy (eV for the cell shown): -25.30
data_CoTeN3
_symmetry_space_group_name_H-M 'P m -3 m'
_symmetry_Int_Tables_number 221
_symmetry_space_group_name_Hall '-P 4 2 3'
_cell_length_a 3.925
_cell_length_b 3.925
_cell_length_c 3.925
_cell_angle_alpha 90.00
_cell_angle_beta 90.00
_cell_angle_gamma 90.00
loop_
_atom_site_label
_atom_site_fract_x
_atom_site_fract_y
_atom_site_fract_z
Co1 0.000 0.000 0.000
Te1 0.500 0.500 0.500
N1 0.000 0.500 0.500


5.
# CoTeN2, optimized geometry, DFT GGA-PBE
# Formation energy (no corrections) (eV/atom): 1.002
# V (Å³ per cell): 173.0
# DFT total energy (eV for the cell shown): -68.67
data_CoTeN2
_symmetry_space_group_name_H-M 'R -3 m'
_symmetry_Int_Tables_number 166
_symmetry_space_group_name_Hall '-R 3 2"'
_cell_length_a 3.3452
_cell_length_b 3.3452
_cell_length_c 17.8498
_cell_angle_alpha 90.00
_cell_angle_beta 90.00
_cell_angle_gamma 120.00
loop_
_atom_site_label
_atom_site_fract_x
_atom_site_fract_y
_atom_site_fract_z
Co1 0.0000 0.0000 0.0000
Te1 0.0000 0.0000 0.5000
N1 0.0000 0.0000 0.1018


6.
# Th3CoTeN, optimized geometry, DFT GGA-PBE
# Formation energy (no corrections) (eV/atom): -0.960
# V (Å³ per cell): 321.9
# DFT total energy (eV for the cell shown): -93.18
data_Th3CoTeN
_symmetry_space_group_name_H-M 'P 1 21/m 1'
_symmetry_Int_Tables_number 11
_cell_length_a 8.845
_cell_length_b 4.032
_cell_length_c 9.268
_cell_angle_alpha 90.00
_cell_angle_beta 103.16
_cell_angle_gamma 90.00
loop_
_symmetry_equiv_pos_as_xyz
'x,y,z'
'-x,-y,-z'
'-x,y+1/2,-z'
'x,-y+1/2,z'
loop_
_atom_site_label
_atom_site_fract_x
_atom_site_fract_y
_atom_site_fract_z
Th1 0.032 0.250 0.342
Th2 0.321 0.250 0.966
Th3 0.377 0.750 0.638
Co1 0.173 0.250 0.639
Te1 0.299 0.750 0.253
N1 0.422 0.750 0.899